# NaYCd2 | Alexandria via LeMat-Bulk | GGA-PBE | optimized geometry
data_NaYCd2
_cell_length_a 7.403
_cell_length_b 7.403
_cell_length_c 7.403
_cell_angle_alpha 90.00
_cell_angle_beta 90.00
_cell_angle_gamma 90.00
_space_group_name_H-M_alt 'F m -3 m'
_space_group_IT_number 225
_space_group_name_Hall '-F 4 2 3'
loop_
_atom_site_label
_atom_site_type_symbol
_atom_site_fract_x
_atom_site_fract_y
_atom_site_fract_z
Na1 Na 0.000 0.000 0.000
Y1 Y 0.000 0.000 0.500
Cd1 Cd 0.250 0.250 0.250
# VASP energy	-41.0	eV for the cell shown
# E above lowest polymorph	0.0341	eV/atom
# DOS(E_F)	0.79	states/eV per atom